The following is a GGA-PBE calculation of crystalline Li2Pm2Co15 at its relaxed geometry, from Alexandria via LeMat-Bulk.

As for the calculated density: 7.96 Mg/m³. The uncorrected energy comes out at -120.7 eV/f.u. The calculation puts the energy of formation at -0.04 eV/atom.

The structure belongs to space group R-3m (No. 166, hexagonal axes); the cell edges are 8.4411, 8.4411 and 12.0458 Å and the angles 90.00°, 90.00° and 120.00°. The distinct sites, in fractional coordinates, are Li at (0.0000, 0.0000, 0.0959), Pm at (0.0000, 0.0000, 0.3435), Co at (0.0000, 0.2892, 0.0000), Co at (0.0000, 0.5000, 0.5000) and Co at (0.0009, 0.5004, 0.1545).